4
Lattice="3.0543 0.0000 0.0000 0.0000 3.0543 0.0000 0.0000 0.0000 8.8485" Properties=species:S:1:pos:R:3 comment="Cd2FeCl | Alexandria via LeMat-Bulk | PBE | optimized geometry" sg="No. 99" e_form_raw_mev_per_atom=38 de_polymorph_mev_per_atom=8 dft_energy_ev_per_cell=-11.99 pbc="T T T"
Cd 0.0000 0.0000 0.0000
Cd 1.5271 1.5271 2.4169
Fe 1.5271 1.5271 6.9235
Cl 0.0000 0.0000 5.5573

---

4
Lattice="1.6282 0.9401 8.5552 -1.6282 0.9401 8.5552 0.0000 -1.8801 8.5552" Properties=species:S:1:pos:R:3 comment="Cd2FeCl | Alexandria via LeMat-Bulk | PBE | optimized geometry" sg="No. 166" e_form_raw_mev_per_atom=49 de_polymorph_mev_per_atom=20 dft_energy_ev_per_cell=-11.94 pbc="T T T"
Cd 0.0000 0.0000 6.3355
Cd 0.0000 0.0000 19.3301
Fe 0.0000 0.0000 12.8328
Cl 0.0000 0.0000 0.0000

---

8
Lattice="-3.8547 3.8547 2.9489 3.8547 -3.8547 2.9489 3.8547 3.8547 -2.9489" Properties=species:S:1:pos:R:3 comment="Cd2FeCl | Alexandria via LeMat-Bulk | PBE | optimized geometry" sg="No. 122" e_form_raw_mev_per_atom=317 de_polymorph_mev_per_atom=288 dft_energy_ev_per_cell=-21.74 pbc="T T T"
Cd 5.7821 1.8084 -0.7372
Cd 1.8084 1.9274 0.7372
Cd -1.9274 2.0463 2.2117
Cd 2.0463 1.9274 3.6862
Fe 0.0000 0.0000 0.0000
Fe 0.0000 3.8547 1.4745
Cl 3.8547 0.0000 1.4745
Cl 0.0000 0.0000 2.9489

---

32
Lattice="5.5672 3.2142 10.2220 -5.5672 3.2142 10.2220 0.0000 -6.4284 10.2220" Properties=species:S:1:pos:R:3 comment="CdFe3Cl12 | Alexandria via LeMat-Bulk | PBE | optimized geometry" sg="No. 161" e_form_raw_mev_per_atom=-724 dft_energy_ev_per_cell=-120.09 pbc="T T T"
Cd 0.0000 0.0000 0.0000
Cd 0.0000 0.0000 15.3329
Fe -1.5021 -3.6586 13.5891
Fe -3.1497 -0.0841 18.7001
Fe -2.4174 3.1301 13.5891
Fe 1.6477 -2.6857 18.7001
Fe 3.9195 0.5285 13.5891
Fe 1.5021 2.7698 18.7001
Cl -2.0498 -1.1580 8.5079
Cl -5.0646 -1.2487 18.6377
Cl -0.3762 -4.2526 11.7394
Cl -3.4947 2.4521 11.7394
Cl -0.5196 -4.3506 15.3481
Cl -1.4509 -1.4179 13.5267
Cl -3.5079 2.6253 15.3481
Cl -2.0724 -0.7621 16.8504
Cl 2.0277 -1.1962 8.5079
Cl 0.0220 2.3541 8.5079
Cl -2.0593 -0.5889 20.4591
Cl -0.5025 1.9655 13.5267
Cl -2.0277 -1.1962 23.8409
Cl 1.9534 -0.5476 13.5267
Cl 1.6962 -1.4137 16.8504
Cl 0.3762 2.1758 16.8504
Cl 1.5396 -1.4889 20.4591
Cl 3.6137 -3.7618 18.6377
Cl 0.5196 2.0778 20.4591
Cl 3.8709 1.8005 11.7394
Cl -0.0220 2.3541 23.8409
Cl 2.0498 -1.1580 23.8409
Cl 4.0275 1.7253 15.3481
Cl 1.4509 5.0105 18.6377

---

4
Lattice="3.4508 -3.4972 0.0000 3.4508 3.4972 0.0000 0.0000 0.0000 3.3840" Properties=species:S:1:pos:R:3 comment="CdFeCl2 | Alexandria via LeMat-Bulk | PBE | optimized geometry" sg="No. 65" e_form_raw_mev_per_atom=179 de_polymorph_mev_per_atom=630 dft_energy_ev_per_cell=-12.36 pbc="T T T"
Cd 0.0000 0.0000 0.0000
Fe 3.4508 0.0000 0.0000
Cl 1.7254 1.7486 1.6920
Cl 1.7254 -1.7486 1.6920

---

4
Lattice="3.0988 0.0000 0.0000 0.0000 3.0988 0.0000 0.0000 0.0000 9.2059" Properties=species:S:1:pos:R:3 comment="CdFeCl2 | Alexandria via LeMat-Bulk | PBE | optimized geometry" sg="No. 123" e_form_raw_mev_per_atom=-245 de_polymorph_mev_per_atom=206 dft_energy_ev_per_cell=-14.05 pbc="T T T"
Cd 0.0000 0.0000 0.0000
Fe 0.0000 0.0000 4.6029
Cl 1.5494 1.5494 3.0931
Cl 1.5494 1.5494 6.1128

---

4
Lattice="3.0559 0.0000 0.0000 0.0000 4.8217 0.0000 0.0000 0.0000 5.5016" Properties=species:S:1:pos:R:3 comment="Cd2FeCl | Alexandria via LeMat-Bulk | PBE | optimized geometry" sg="No. 47" e_form_raw_mev_per_atom=304 de_polymorph_mev_per_atom=275 dft_energy_ev_per_cell=-10.92 pbc="T T T"
Cd 0.0000 0.0000 0.0000
Cd 1.5280 2.4108 0.0000
Fe 0.0000 2.4108 2.7508
Cl 1.5280 0.0000 2.7508

---

4
Lattice="3.2797 0.0000 0.0000 0.0000 4.2083 0.0000 -1.6218 0.0000 5.7551" Properties=species:S:1:pos:R:3 comment="Cd2FeCl | Alexandria via LeMat-Bulk | PBE | optimized geometry" sg="No. 6" e_form_raw_mev_per_atom=182 de_polymorph_mev_per_atom=153 dft_energy_ev_per_cell=-11.41 pbc="T T T"
Cd 0.0000 0.0000 0.0000
Cd 0.0153 2.1042 4.2293
Fe 1.6525 0.0000 2.9292
Cl 1.6520 2.1042 1.7461

---

4
Lattice="-1.5707 2.6011 4.9655 1.5707 -2.6011 4.9655 1.5707 2.6011 -4.9655" Properties=species:S:1:pos:R:3 comment="Cd2FeCl | Alexandria via LeMat-Bulk | PBE | optimized geometry" sg="No. 71" e_form_raw_mev_per_atom=255 de_polymorph_mev_per_atom=226 dft_energy_ev_per_cell=-11.12 pbc="T T T"
Cd 0.0000 0.0000 2.3417
Cd 0.0000 0.0000 7.5894
Fe 1.5707 0.0000 0.0000
Cl 0.0000 2.6011 0.0000

---

5
Lattice="5.1861 0.0000 0.0000 0.0000 5.1861 0.0000 0.0000 0.0000 5.1861" Properties=species:S:1:pos:R:3 comment="Cd3FeCl | Alexandria via LeMat-Bulk | PBE | optimized geometry" sg="No. 221" e_form_raw_mev_per_atom=322 de_polymorph_mev_per_atom=0 dft_energy_ev_per_cell=-11.45 pbc="T T T"
Cd 0.0000 0.0000 2.5930
Cd 0.0000 2.5930 0.0000
Cd 2.5930 0.0000 0.0000
Fe 0.0000 0.0000 0.0000
Cl 2.5930 2.5930 2.5930

---

6
Lattice="0.0000 4.1657 4.1657 4.1657 0.0000 4.1657 4.1657 4.1657 0.0000" Properties=species:S:1:pos:R:3 comment="CdFeCl4 | Alexandria via LeMat-Bulk | PBE | optimized geometry" sg="No. 216" e_form_raw_mev_per_atom=735 de_polymorph_mev_per_atom=1594 dft_energy_ev_per_cell=-12.35 pbc="T T T"
Cd 0.0000 0.0000 0.0000
Fe 2.0829 2.0829 2.0829
Cl 5.2063 3.1251 3.1251
Cl 3.1251 5.2063 3.1251
Cl 3.1251 3.1251 5.2063
Cl 5.2063 5.2063 5.2063

---

4
Lattice="3.1893 0.0000 0.0000 0.0000 3.1893 0.0000 0.0000 0.0000 8.3124" Properties=species:S:1:pos:R:3 comment="CdFeCl2 | Alexandria via LeMat-Bulk | PBE | optimized geometry" sg="No. 99" e_form_raw_mev_per_atom=-208 de_polymorph_mev_per_atom=244 dft_energy_ev_per_cell=-13.90 pbc="T T T"
Cd 0.0000 0.0000 0.0000
Fe 1.5946 1.5946 6.2221
Cl 0.0000 0.0000 4.9934
Cl 1.5946 1.5946 1.6580